1.
Entry from Alexandria via LeMat-Bulk: Pu2CuO6 after structural relaxation (PBE-GGA).

```
data_Pu2CuO6
_cell_length_a 5.229
_cell_length_b 5.331
_cell_length_c 9.576
_cell_angle_alpha 90.00
_cell_angle_beta 85.58
_cell_angle_gamma 90.00
_symmetry_space_group_name_H-M 'P 1'
_symmetry_Int_Tables_number 1
loop_
_symmetry_equiv_pos_as_xyz
'x,y,z'
loop_
_atom_site_label
_atom_site_type_symbol
_atom_site_fract_x
_atom_site_fract_y
_atom_site_fract_z
Pu1 Pu 0.505 0.974 0.680
Pu2 Pu 0.995 0.474 0.820
Pu3 Pu 0.005 0.526 0.180
Pu4 Pu 0.495 0.026 0.320
Cu1 Cu 0.500 0.500 0.500
Cu2 Cu 0.000 0.000 0.000
O1 O 0.320 0.174 0.516
O2 O 0.281 0.658 0.665
O3 O 0.742 0.270 0.688
O4 O 0.758 0.770 0.812
O5 O 0.219 0.158 0.835
O6 O 0.180 0.674 0.984
O7 O 0.820 0.326 0.016
O8 O 0.781 0.842 0.165
O9 O 0.242 0.230 0.188
O10 O 0.258 0.730 0.312
O11 O 0.719 0.342 0.335
O12 O 0.680 0.826 0.484
```

Results
Raw total energy in eV per atom: -9.162
Calculated density in g cm⁻³: 8.08
Calculated volume in A^3/atom: 14.78
Total magnetic moment in μB per formula unit: 4.99
Energy relative to the elements, uncorrected in eV/f.u.: -19.95

=====

2.
Entry from Alexandria via LeMat-Bulk: La9PmPb2 after structural relaxation (PBE-GGA).

```
data_La9PmPb2
_cell_length_a 5.106
_cell_length_b 5.106
_cell_length_c 15.601
_cell_angle_alpha 90.00
_cell_angle_beta 90.00
_cell_angle_gamma 90.00
_symmetry_space_group_name_H-M 'P 1'
_symmetry_Int_Tables_number 1
loop_
_symmetry_equiv_pos_as_xyz
'x,y,z'
loop_
_atom_site_label
_atom_site_type_symbol
_atom_site_fract_x
_atom_site_fract_y
_atom_site_fract_z
La1 La 0.500 0.500 0.000
La2 La 0.500 0.500 0.338
La3 La 0.500 0.500 0.662
La4 La 0.500 0.000 0.172
La5 La 0.500 0.000 0.500
La6 La 0.500 0.000 0.828
La7 La 0.000 0.500 0.172
La8 La 0.000 0.500 0.500
La9 La 0.000 0.500 0.828
Pm1 Pm 0.000 0.000 0.000
Pb1 Pb 0.000 0.000 0.337
Pb2 Pb 0.000 0.000 0.663
```

Results
Raw total energy in eV per atom: -4.948
DFT formation energy in eV/atom: -0.24
Calculated density in g cm⁻³: 7.39
Calculated volume in A^3/atom: 33.90
Total magnetic moment in μB per formula unit: 0.00

=====

3.
Entry from Alexandria via LeMat-Bulk: PmNd6Y3 after structural relaxation (PBE-GGA).

```
data_PmNd6Y3
_cell_length_a 6.299
_cell_length_b 11.265
_cell_length_c 11.265
_cell_angle_alpha 120.35
_cell_angle_beta 90.00
_cell_angle_gamma 90.00
_symmetry_space_group_name_H-M 'P 1'
_symmetry_Int_Tables_number 1
loop_
_symmetry_equiv_pos_as_xyz
'x,y,z'
loop_
_atom_site_label
_atom_site_type_symbol
_atom_site_fract_x
_atom_site_fract_y
_atom_site_fract_z
Pm1 Pm 0.112 0.199 0.801
Pm2 Pm 0.612 0.801 0.199
Nd1 Nd 0.039 0.709 0.625
Nd2 Nd 0.539 0.625 0.709
Nd3 Nd 0.373 0.528 0.947
Nd4 Nd 0.873 0.947 0.528
Nd5 Nd 0.405 0.960 0.040
Nd6 Nd 0.639 0.281 0.719
Nd7 Nd 0.139 0.719 0.281
Nd8 Nd 0.905 0.040 0.960
Nd9 Nd 0.373 0.053 0.472
Nd10 Nd 0.873 0.472 0.053
Nd11 Nd 0.039 0.375 0.291
Nd12 Nd 0.539 0.291 0.375
Y1 Y 0.463 0.943 0.716
Y2 Y 0.963 0.716 0.943
Y3 Y 0.078 0.385 0.615
Y4 Y 0.578 0.615 0.385
Y5 Y 0.963 0.057 0.284
Y6 Y 0.463 0.284 0.057
```

Results
Raw total energy in eV per atom: -5.142
DFT formation energy in eV/atom: 0.13
E above lowest polymorph in eV/atom: 0.090
Calculated density in g cm⁻³: 6.15
Calculated volume in A^3/atom: 34.49
Total magnetic moment in μB per formula unit: 0.00

=====

4.
Entry from Alexandria via LeMat-Bulk: Cs2AuF after structural relaxation (PBE-GGA).

```
data_Cs2AuF
_cell_length_a 8.429
_cell_length_b 8.429
_cell_length_c 7.689
_cell_angle_alpha 56.76
_cell_angle_beta 56.76
_cell_angle_gamma 90.00
_symmetry_space_group_name_H-M 'P 1'
_symmetry_Int_Tables_number 1
loop_
_symmetry_equiv_pos_as_xyz
'x,y,z'
loop_
_atom_site_label
_atom_site_type_symbol
_atom_site_fract_x
_atom_site_fract_y
_atom_site_fract_z
Cs1 Cs 0.552 0.125 0.250
Cs2 Cs 0.198 0.625 0.250
Cs3 Cs 0.375 0.448 0.750
Cs4 Cs 0.875 0.802 0.750
Au1 Au 0.000 0.000 0.000
Au2 Au 0.750 0.250 0.500
F1 F 0.500 0.500 0.000
F2 F 0.250 0.750 0.500
```

Results
Raw total energy in eV per atom: -3.154
E above lowest polymorph in eV/atom: 0.030
Calculated density in g cm⁻³: 4.64
Calculated volume in A^3/atom: 43.14
Total magnetic moment in μB per formula unit: 0.00
Energy relative to the elements, uncorrected in eV/f.u.: -5.76

=====

5.
Entry from Alexandria via LeMat-Bulk: Cr2CdNi after structural relaxation (PBE-GGA).

```
data_Cr2CdNi
_cell_length_a 4.673
_cell_length_b 4.673
_cell_length_c 4.673
_cell_angle_alpha 129.75
_cell_angle_beta 129.75
_cell_angle_gamma 73.81
_symmetry_space_group_name_H-M 'P 1'
_symmetry_Int_Tables_number 1
loop_
_symmetry_equiv_pos_as_xyz
'x,y,z'
loop_
_atom_site_label
_atom_site_type_symbol
_atom_site_fract_x
_atom_site_fract_y
_atom_site_fract_z
Cd1 Cd 0.750 0.250 0.500
Cr1 Cr 0.000 0.000 0.000
Cr2 Cr 0.250 0.750 0.500
Ni1 Ni 0.500 0.500 0.000
```

Results
Raw total energy in eV per atom: -6.168
DFT formation energy in eV/atom: 0.32
Calculated density in g cm⁻³: 7.76
Calculated volume in A^3/atom: 14.71
Total magnetic moment in μB per formula unit: 0.04

=====

6.
Entry from Alexandria via LeMat-Bulk: Na2AlGaAu2 after structural relaxation (PBE-GGA).

```
data_Na2AlGaAu2
_cell_length_a 6.260
_cell_length_b 6.285
_cell_length_c 8.256
_cell_angle_alpha 112.37
_cell_angle_beta 112.28
_cell_angle_gamma 90.00
_symmetry_space_group_name_H-M 'P 1'
_symmetry_Int_Tables_number 1
loop_
_symmetry_equiv_pos_as_xyz
'x,y,z'
loop_
_atom_site_label
_atom_site_type_symbol
_atom_site_fract_x
_atom_site_fract_y
_atom_site_fract_z
Na1 Na 0.423 0.180 0.359
Na2 Na 0.577 0.820 0.641
Na3 Na 0.064 0.320 0.641
Na4 Na 0.936 0.680 0.359
Al1 Al 0.500 0.750 0.000
Al2 Al 0.500 0.250 0.000
Ga1 Ga 0.000 0.750 0.000
Ga2 Ga 0.000 0.250 0.000
Au1 Au 0.837 0.097 0.194
Au2 Au 0.357 0.597 0.194
Au3 Au 0.643 0.403 0.806
Au4 Au 0.163 0.903 0.806
```

Results
Raw total energy in eV per atom: -2.974
DFT formation energy in eV/atom: -0.31
Calculated density in g cm⁻³: 6.50
Calculated volume in A^3/atom: 22.83
Total magnetic moment in μB per formula unit: 0.00

=====

7.
Entry from Alexandria via LeMat-Bulk: Ca2CdB2Pd5 after structural relaxation (PBE-GGA).

```
data_Ca2CdB2Pd5
_cell_length_a 3.190
_cell_length_b 10.006
_cell_length_c 10.006
_cell_angle_alpha 90.00
_cell_angle_beta 90.00
_cell_angle_gamma 90.00
_symmetry_space_group_name_H-M 'P 1'
_symmetry_Int_Tables_number 1
loop_
_symmetry_equiv_pos_as_xyz
'x,y,z'
loop_
_atom_site_label
_atom_site_type_symbol
_atom_site_fract_x
_atom_site_fract_y
_atom_site_fract_z
Ca1 Ca 0.000 0.678 0.178
Ca2 Ca 0.000 0.322 0.822
Ca3 Ca 0.000 0.178 0.322
Ca4 Ca 0.000 0.822 0.678
Cd1 Cd 0.000 0.000 0.000
Cd2 Cd 0.000 0.500 0.500
B1 B 0.000 0.120 0.620
B2 B 0.000 0.880 0.380
B3 B 0.000 0.620 0.880
B4 B 0.000 0.380 0.120
Pd1 Pd 0.500 0.231 0.070
Pd2 Pd 0.500 0.769 0.930
Pd3 Pd 0.500 0.070 0.769
Pd4 Pd 0.500 0.731 0.430
Pd5 Pd 0.500 0.930 0.231
Pd6 Pd 0.500 0.269 0.570
Pd7 Pd 0.500 0.570 0.731
Pd8 Pd 0.500 0.430 0.269
Pd9 Pd 0.500 0.500 0.000
Pd10 Pd 0.500 0.000 0.500
```

Results
Raw total energy in eV per atom: -4.899
DFT formation energy in eV/atom: -0.48
Calculated density in g cm⁻³: 7.76
Calculated volume in A^3/atom: 15.97
Total magnetic moment in μB per formula unit: 0.00

=====

8.
Entry from Alexandria via LeMat-Bulk: Y3Ag2Pd2 after structural relaxation (PBE-GGA).

```
data_Y3Ag2Pd2
_cell_length_a 4.002
_cell_length_b 3.686
_cell_length_c 10.985
_cell_angle_alpha 90.00
_cell_angle_beta 79.50
_cell_angle_gamma 90.00
_symmetry_space_group_name_H-M 'P 1'
_symmetry_Int_Tables_number 1
loop_
_symmetry_equiv_pos_as_xyz
'x,y,z'
loop_
_atom_site_label
_atom_site_type_symbol
_atom_site_fract_x
_atom_site_fract_y
_atom_site_fract_z
Y1 Y 0.833 0.000 0.334
Y2 Y 0.000 0.000 0.000
Y3 Y 0.167 0.000 0.666
Ag1 Ag 0.574 0.500 0.851
Ag2 Ag 0.426 0.500 0.149
Pd1 Pd 0.707 0.500 0.585
Pd2 Pd 0.293 0.500 0.415
```

Results
Raw total energy in eV per atom: -5.637
DFT formation energy in eV/atom: -0.57
Calculated density in g cm⁻³: 7.25
Calculated volume in A^3/atom: 22.76
Total magnetic moment in μB per formula unit: 0.00

=====

9.
Entry from Alexandria via LeMat-Bulk: TmNiRhAu after structural relaxation (PBE-GGA).

```
data_TmNiRhAu
_cell_length_a 4.564
_cell_length_b 4.564
_cell_length_c 4.564
_cell_angle_alpha 60.00
_cell_angle_beta 60.00
_cell_angle_gamma 60.00
_symmetry_space_group_name_H-M 'P 1'
_symmetry_Int_Tables_number 1
loop_
_symmetry_equiv_pos_as_xyz
'x,y,z'
loop_
_atom_site_label
_atom_site_type_symbol
_atom_site_fract_x
_atom_site_fract_y
_atom_site_fract_z
Rh1 Rh 0.750 0.750 0.750
Tm1 Tm 0.500 0.500 0.500
Au1 Au 0.000 0.000 0.000
Ni1 Ni 0.250 0.250 0.250
```

Results
Raw total energy in eV per atom: -5.660
DFT formation energy in eV/atom: -0.44
Calculated density in g cm⁻³: 13.03
Calculated volume in A^3/atom: 16.81
Total magnetic moment in μB per formula unit: 0.00

=====

10.
Entry from Alexandria via LeMat-Bulk: PSe2Br after structural relaxation (PBE-GGA).

```
data_PSe2Br
_cell_length_a 7.039
_cell_length_b 7.039
_cell_length_c 7.039
_cell_angle_alpha 155.06
_cell_angle_beta 108.13
_cell_angle_gamma 77.42
_symmetry_space_group_name_H-M 'P 1'
_symmetry_Int_Tables_number 1
loop_
_symmetry_equiv_pos_as_xyz
'x,y,z'
loop_
_atom_site_label
_atom_site_type_symbol
_atom_site_fract_x
_atom_site_fract_y
_atom_site_fract_z
P1 P 0.500 0.000 0.500
Se1 Se 0.659 0.659 0.000
Se2 Se 0.341 0.341 0.000
Br1 Br 0.000 0.500 0.500
```

Results
Raw total energy in eV per atom: -3.274
E above lowest polymorph in eV/atom: 0.259
Calculated density in g cm⁻³: 3.24
Calculated volume in A^3/atom: 34.49
Total magnetic moment in μB per formula unit: 0.00
Energy relative to the elements, uncorrected in eV/f.u.: 0.96